P:
Computed, not measured: TbTh2Au after structural relaxation at the PBE level of DFT.

The structure in POSCAR format:
```
TbTh2Au
1.0
-1.9929 -2.3303 1.9392
1.4682 -2.7723 -1.8225
6.5239 -0.5319 6.0651
Th Au Tb
2 1 1
Direct
0.0000 0.0000 0.7824 Th
0.0000 0.0000 0.2176 Th
0.5000 0.5000 0.0000 Au
0.5000 0.5000 0.5000 Tb
```

## Properties
Total magnetic moment, μB per cell: 0.000
DOS(E_F), states/eV/cell: 4.1
Crystal system: tetragonal
Calculated volume, Å³/cell: 117.5

Q:
Computed, not measured: TbTh2Au after structural relaxation at the PBE level of DFT.

The structure in POSCAR format:
```
TbTh2Au
1.0
-2.1988 2.4821 1.0628
-2.6869 0.9242 -2.0129
-8.3315 -7.0286 4.8822
Th Au Tb
2 1 1
Direct
0.9169 0.9169 0.2492 Th
0.0831 0.0831 0.7508 Th
0.0000 0.0000 0.0000 Au
0.5000 0.5000 0.5000 Tb
```

## Properties
Total magnetic moment, μB per cell: 0.000
DOS(E_F), states/eV/cell: 5.1
Crystal system: trigonal
Calculated volume, Å³/cell: 123.6

Ranked by calculated energy, most stable first: P, Q.

P:
Computed, not measured: TbThTlAu after structural relaxation at the PBE level of DFT.

The structure in POSCAR format:
```
TbThTlAu
1.0
-0.5639 -2.7379 2.2460
-0.1953 -2.2468 -2.7880
8.1309 -1.2896 0.4696
Au Tb Tl Th
1 1 1 1
Direct
0.5000 0.5000 0.5882 Au
0.0000 0.0000 0.3807 Tb
0.5000 0.5000 0.1186 Tl
0.0000 0.0000 0.8405 Th
```

## Properties
Total magnetic moment, μB per cell: 0.000
DOS(E_F), states/eV/cell: 3.1
Crystal system: tetragonal
Calculated volume, Å³/cell: 106.0

Q:
Computed, not measured: TbThTlAu after structural relaxation at the PBE level of DFT.

The structure in POSCAR format:
```
TbThTlAu
1.0
5.3410 0.0000 0.0000
2.6705 4.6254 0.0000
2.6705 1.5418 4.3609
Au Th Tl Tb
1 1 1 1
Direct
0.5000 0.5000 0.5000 Au
0.7500 0.7500 0.7500 Th
0.0000 0.0000 0.0000 Tl
0.2500 0.2500 0.2500 Tb
```

## Properties
Total magnetic moment, μB per cell: 0.962
DOS(E_F), states/eV/cell: 3.3
Crystal system: cubic
Calculated volume, Å³/cell: 107.7

Ranked by calculated energy, most stable first: P, Q.

P:
Computed, not measured: TbThZnAu after structural relaxation at the PBE level of DFT.

The structure in POSCAR format:
```
TbThZnAu
1.0
-3.6456 -1.0857 0.4570
0.6839 -3.4997 -2.8583
3.3537 -2.7477 4.1667
Zn Au Th Tb
1 1 1 1
Direct
0.4257 0.0000 0.8513 Zn
0.5772 0.5000 0.1544 Au
0.8531 0.5000 0.7063 Th
0.1440 0.0000 0.2880 Tb
```

## Properties
Total magnetic moment, μB per cell: 0.000
DOS(E_F), states/eV/cell: 4.8
Crystal system: orthorhombic
Calculated volume, Å³/cell: 99.8

Q:
Computed, not measured: TbThZnAu after structural relaxation at the PBE level of DFT.

The structure in POSCAR format:
```
TbThZnAu
1.0
-2.8794 1.2828 -4.1098
-4.0970 -2.8917 -1.2959
-4.7913 1.8494 0.6704
Th Au Zn Tb
1 1 1 1
Direct
0.2500 0.2500 0.2500 Th
0.0000 0.0000 0.0000 Au
0.5000 0.5000 0.5000 Zn
0.7500 0.7500 0.7500 Tb
```

## Properties
Total magnetic moment, μB per cell: 0.670
DOS(E_F), states/eV/cell: 4.1
Crystal system: cubic
Calculated volume, Å³/cell: 98.3

Ranked by calculated energy, most stable first: P, Q.

P:
Computed, not measured: TbTiAu2 after structural relaxation at the PBE level of DFT.

The structure in POSCAR format:
```
TbTiAu2
1.0
3.5433 0.0000 0.0000
0.0000 4.8303 0.0000
0.0000 0.0000 4.8303
Au Ti Tb
2 1 1
Direct
0.0000 0.5000 0.0000 Au
0.0000 0.0000 0.5000 Au
0.5000 0.0000 0.0000 Ti
0.5000 0.5000 0.5000 Tb
```

## Properties
Total magnetic moment, μB per cell: 1.595
DOS(E_F), states/eV/cell: 4.7
Crystal system: tetragonal
Calculated volume, Å³/cell: 82.7

Q:
Computed, not measured: TbTiAu2 after structural relaxation at the PBE level of DFT.

The structure in POSCAR format:
```
TbTiAu2
1.0
3.3946 0.0000 0.0000
0.0000 3.3946 0.0000
0.0000 0.0000 7.0579
Au Ti Tb
2 1 1
Direct
0.0000 0.0000 0.7858 Au
0.0000 0.0000 0.2142 Au
0.5000 0.5000 0.0000 Ti
0.5000 0.5000 0.5000 Tb
```

## Properties
Total magnetic moment, μB per cell: 0.865
DOS(E_F), states/eV/cell: 4.0
Crystal system: tetragonal
Calculated volume, Å³/cell: 81.3

Ranked by calculated energy, most stable first: Q, P.

P:
Computed, not measured: Tb4TlAu after structural relaxation at the PBE level of DFT.

The structure in POSCAR format:
```
Tb4TlAu
1.0
4.9470 0.0000 -2.3002
0.0000 7.0019 0.0000
-0.2672 0.0000 9.8172
Tb Au Tl
8 2 2
Direct
0.9397 0.0097 0.2471 Tb
0.9397 0.4903 0.2471 Tb
0.6141 0.2500 0.4368 Tb
0.3361 0.7500 0.1164 Tb
0.0603 0.9903 0.7529 Tb
0.3859 0.7500 0.5632 Tb
0.0603 0.5097 0.7529 Tb
0.6639 0.2500 0.8836 Tb
0.2280 0.2500 0.5598 Au
0.7720 0.7500 0.4402 Au
0.6854 0.7500 0.9220 Tl
0.3146 0.2500 0.0780 Tl
```

## Properties
Total magnetic moment, μB per cell: 0.000
DOS(E_F), states/eV/cell: 10.5
Crystal system: monoclinic
Calculated volume, Å³/cell: 335.7

Q:
Computed, not measured: Tb4TlAu after structural relaxation at the PBE level of DFT.

The structure in POSCAR format:
```
Tb4TlAu
1.0
7.0827 0.0000 0.0054
0.0000 7.1961 0.0000
-0.0971 0.0000 7.5866
Tb Tl Au
8 2 2
Direct
0.1348 0.3559 0.8273 Tb
0.6348 0.1441 0.8273 Tb
0.8652 0.6441 0.1727 Tb
0.3652 0.8559 0.1727 Tb
0.6636 0.6575 0.6476 Tb
0.3364 0.3425 0.3524 Tb
0.8364 0.1575 0.3524 Tb
0.1636 0.8425 0.6476 Tb
0.5000 0.5000 0.0000 Tl
0.0000 0.0000 0.0000 Tl
0.0000 0.5000 0.5000 Au
0.5000 0.0000 0.5000 Au
```

## Properties
Total magnetic moment, μB per cell: 0.000
DOS(E_F), states/eV/cell: 13.4
Crystal system: monoclinic
Calculated volume, Å³/cell: 386.7

Ranked by calculated energy, most stable first: P, Q.

P:
Computed, not measured: TbTl2Au after structural relaxation at the PBE level of DFT.

The structure in POSCAR format:
```
TbTl2Au
1.0
4.6938 0.0000 0.0000
0.0000 4.5806 0.0000
0.0000 0.0000 4.5806
Tl Au Tb
2 1 1
Direct
0.0000 0.0000 0.5000 Tl
0.0000 0.5000 0.0000 Tl
0.5000 0.5000 0.5000 Au
0.5000 0.0000 0.0000 Tb
```

## Properties
Total magnetic moment, μB per cell: 0.000
DOS(E_F), states/eV/cell: 2.3
Crystal system: tetragonal
Calculated volume, Å³/cell: 98.5

Q:
Computed, not measured: TbTl2Au after structural relaxation at the PBE level of DFT.

The structure in POSCAR format:
```
TbTl2Au
1.0
-2.6748 -0.9604 2.0920
0.3784 -2.7260 2.2089
2.8016 5.4449 9.0584
Tl Au Tb
2 1 1
Direct
0.0983 0.0983 0.7051 Tl
0.9017 0.9017 0.2949 Tl
0.5000 0.5000 0.5000 Au
0.0000 0.0000 0.0000 Tb
```

## Properties
Total magnetic moment, μB per cell: 0.000
DOS(E_F), states/eV/cell: 3.0
Crystal system: trigonal
Calculated volume, Å³/cell: 115.9

Ranked by calculated energy, most stable first: P, Q.

P:
Computed, not measured: TbYTlAu after structural relaxation at the PBE level of DFT.

The structure in POSCAR format:
```
TbYTlAu
1.0
-1.5169 -3.0052 1.3775
3.1696 -1.7528 -0.3337
1.9948 2.2533 7.1127
Tb Y Tl Au
1 1 1 1
Direct
0.5000 0.5000 0.1269 Tb
0.5000 0.5000 0.5874 Y
0.0000 0.0000 0.8560 Tl
0.0000 0.0000 0.3577 Au
```

## Properties
Total magnetic moment, μB per cell: 0.000
DOS(E_F), states/eV/cell: 2.6
Crystal system: tetragonal
Calculated volume, Å³/cell: 102.2

Q:
Computed, not measured: TbYTlAu after structural relaxation at the PBE level of DFT.

The structure in POSCAR format:
```
TbYTlAu
1.0
-3.3001 1.8140 3.6663
-4.8607 -1.9656 0.3645
-1.3089 -3.0316 4.0889
Tb Tl Y Au
1 1 1 1
Direct
0.2500 0.2500 0.2500 Tb
0.5000 0.5000 0.5000 Tl
0.7500 0.7500 0.7500 Y
0.0000 0.0000 0.0000 Au
```

## Properties
Total magnetic moment, μB per cell: 0.000
DOS(E_F), states/eV/cell: 3.3
Crystal system: cubic
Calculated volume, Å³/cell: 102.7

Ranked by calculated energy, most stable first: P, Q.

P:
Computed, not measured: Tb3TmAu4 after structural relaxation at the PBE level of DFT.

The structure in POSCAR format:
```
Tb3TmAu4
1.0
-2.5295 -3.9522 -2.4243
4.1543 -3.3602 1.1432
-3.5402 1.7770 6.5502
Tb Au Tm
3 4 1
Direct
0.0000 0.5000 0.0000 Tb
0.8236 0.8970 0.6472 Tb
0.1764 0.1030 0.3528 Tb
0.3927 0.3725 0.7854 Au
0.2629 0.6861 0.5258 Au
0.6073 0.6275 0.2146 Au
0.7371 0.3139 0.4742 Au
0.5000 0.0000 0.0000 Tm
```

## Properties
Total magnetic moment, μB per cell: 0.000
DOS(E_F), states/eV/cell: 5.0
Crystal system: monoclinic
Calculated volume, Å³/cell: 195.3

Q:
Computed, not measured: Tb3TmAu4 after structural relaxation at the PBE level of DFT.

The structure in POSCAR format:
```
Tb3TmAu4
1.0
-1.3761 -3.0767 -1.2478
2.2712 0.1129 -2.7831
9.7229 -7.4442 7.6326
Tb Tm Au
3 1 4
Direct
0.5000 0.5000 0.7523 Tb
0.5000 0.5000 0.5000 Tb
0.5000 0.5000 0.2477 Tb
0.5000 0.5000 0.0000 Tm
0.0000 0.0000 0.8809 Au
0.0000 0.0000 0.3746 Au
0.0000 0.0000 0.1191 Au
0.0000 0.0000 0.6254 Au
```

## Properties
Total magnetic moment, μB per cell: 0.000
DOS(E_F), states/eV/cell: 4.9
Crystal system: tetragonal
Calculated volume, Å³/cell: 186.4

Ranked by calculated energy, most stable first: Q, P.